No. 1
# LiInTc | Alexandria via LeMat-Bulk | PBE-GGA | optimized geometry
# **Energy above the lowest structure with this stoichiometry**: 200 meV/atom
# **Energy of formation**: 0.323 eV per atom
data_LiInTc
_cell_length_a 2.7785
_cell_length_b 2.7785
_cell_length_c 13.4123
_cell_angle_alpha 90.00
_cell_angle_beta 90.00
_cell_angle_gamma 90.00
_space_group_name_H-M_alt 'I 4 m m'
_space_group_IT_number 107
_space_group_name_Hall 'I 4 -2'
loop_
_atom_site_label
_atom_site_type_symbol
_atom_site_fract_x
_atom_site_fract_y
_atom_site_fract_z
_atom_site_occupancy
Li1 Li 0.0000 0.0000 0.0000 1
In1 In 0.0000 0.0000 0.6767 1
Tc1 Tc 0.0000 0.0000 0.3432 1

No. 2
# LiInTc4 | Alexandria via LeMat-Bulk | PBE-GGA | optimized geometry
# **Energy of formation**: 0.327 eV per atom
data_LiInTc4
_cell_length_a 7.3395
_cell_length_b 7.3395
_cell_length_c 7.3395
_cell_angle_alpha 90.00
_cell_angle_beta 90.00
_cell_angle_gamma 90.00
_space_group_name_H-M_alt 'F -4 3 m'
_space_group_IT_number 216
_space_group_name_Hall 'F -4 2 3'
loop_
_atom_site_label
_atom_site_type_symbol
_atom_site_fract_x
_atom_site_fract_y
_atom_site_fract_z
_atom_site_occupancy
Li1 Li 0.0000 0.0000 0.0000 1
In1 In 0.2500 0.2500 0.7500 1
Tc1 Tc 0.1254 0.1254 0.3746 1

No. 3
# LiInTc | Alexandria via LeMat-Bulk | PBE-GGA | optimized geometry
# **Energy above the lowest structure with this stoichiometry**: 119 meV/atom
# **Energy of formation**: 0.242 eV per atom
data_LiInTc
_cell_length_a 4.5242
_cell_length_b 4.5242
_cell_length_c 2.7517
_cell_angle_alpha 90.00
_cell_angle_beta 90.00
_cell_angle_gamma 120.00
_space_group_name_H-M_alt 'P 3 m 1'
_space_group_IT_number 156
loop_
_space_group_symop_operation_xyz
'x,y,z'
'-y,x-y,z'
'-x+y,-x,z'
'-y,-x,z'
'-x+y,y,z'
'x,x-y,z'
loop_
_atom_site_label
_atom_site_type_symbol
_atom_site_fract_x
_atom_site_fract_y
_atom_site_fract_z
_atom_site_occupancy
Li1 Li 0.0000 0.0000 0.0000 1
In1 In 0.3333 0.6667 0.8324 1
Tc1 Tc 0.6667 0.3333 0.3893 1

No. 4
# Li2InTc | Alexandria via LeMat-Bulk | PBE-GGA | optimized geometry
# **Energy of formation**: 0.216 eV per atom
data_Li2InTc
_cell_length_a 2.7578
_cell_length_b 4.3054
_cell_length_c 5.6654
_cell_angle_alpha 90.00
_cell_angle_beta 90.00
_cell_angle_gamma 90.00
_space_group_name_H-M_alt 'P m m 2'
_space_group_IT_number 25
loop_
_space_group_symop_operation_xyz
'x,y,z'
'-x,-y,z'
'-x,y,z'
'x,-y,z'
loop_
_atom_site_label
_atom_site_type_symbol
_atom_site_fract_x
_atom_site_fract_y
_atom_site_fract_z
_atom_site_occupancy
Li1 Li 0.0000 0.0000 0.0000 1
Li2 Li 0.5000 0.5000 0.2413 1
In1 In 0.5000 0.5000 0.7138 1
Tc1 Tc 0.0000 0.0000 0.4912 1

No. 5
# Li2InTc | Alexandria via LeMat-Bulk | PBE-GGA | optimized geometry
# **Energy of formation**: 0.211 eV per atom
data_Li2InTc
_cell_length_a 3.8655
_cell_length_b 3.8655
_cell_length_c 8.7227
_cell_angle_alpha 90.00
_cell_angle_beta 90.00
_cell_angle_gamma 90.00
_space_group_name_H-M_alt 'I 4/m m m'
_space_group_IT_number 139
_space_group_name_Hall '-I 4 2'
loop_
_atom_site_label
_atom_site_type_symbol
_atom_site_fract_x
_atom_site_fract_y
_atom_site_fract_z
_atom_site_occupancy
Li1 Li 0.0000 0.5000 0.2500 1
In1 In 0.0000 0.0000 0.0000 1
Tc1 Tc 0.0000 0.0000 0.5000 1

No. 6
# Li2InTc | Alexandria via LeMat-Bulk | PBE-GGA | optimized geometry
# **Energy of formation**: 0.116 eV per atom
data_Li2InTc
_cell_length_a 9.8057
_cell_length_b 2.8326
_cell_length_c 4.8629
_cell_angle_alpha 90.00
_cell_angle_beta 101.86
_cell_angle_gamma 90.00
_space_group_name_H-M_alt 'C 1 2/m 1'
_space_group_IT_number 12
loop_
_space_group_symop_operation_xyz
'x,y,z'
'-x,-y,-z'
'-x,y,-z'
'x,-y,z'
'x+1/2,y+1/2,z'
'-x+1/2,-y+1/2,-z'
'-x+1/2,y+1/2,-z'
'x+1/2,-y+1/2,z'
loop_
_atom_site_label
_atom_site_type_symbol
_atom_site_fract_x
_atom_site_fract_y
_atom_site_fract_z
_atom_site_occupancy
Li1 Li 0.2461 0.0000 0.2197 1
In1 In 0.0000 0.0000 0.5000 1
Tc1 Tc 0.0000 0.5000 0.0000 1

no.,raw total energy (eV/atom),mass density (g/cm3)
1,-4.68,7.049
2,-7.36,8.631
3,-4.76,7.481
4,-4.02,5.596
5,-4.02,5.776
6,-4.12,5.696